## CaLaRhBr (PBE-GGA)

Data for a relaxed structure of CaLaRhBr.

Values from the calculation:
- formation energy without anion corrections (eV per atom) = -1.06
- D(E_F) (states/eV per atom) = 0.65
- density (g cm⁻³) = 5.2

Geometry as CIF:
```
data_CaLaRhBr
_chemical_formula_sum 'Ca3 La3 Rh3 Br3'
_symmetry_space_group_name_H-M 'R 3 m'
_symmetry_Int_Tables_number 160
_symmetry_space_group_name_Hall 'R 3 -2"'
_cell_length_a 4.1074
_cell_length_b 4.1074
_cell_length_c 23.7246
_cell_angle_alpha 90.00
_cell_angle_beta 90.00
_cell_angle_gamma 120.00
loop_
_atom_site_label
_atom_site_fract_x
_atom_site_fract_y
_atom_site_fract_z
Ca1 0.0000 0.0000 0.0000
La1 0.0000 0.0000 0.8010
Rh1 0.0000 0.0000 0.4071
Br1 0.0000 0.0000 0.2379
```